The following is a DFT calculation (PBE) of a relaxed VPdAu2 crystal.

Geometry as POSCAR:
```
VPdAu2
1.0
3.863 0.000 0.000
0.000 5.801 -0.066
0.000 -2.690 5.849
V Pd Au
2 2 4
direct
0.750 0.314 0.389
0.250 0.686 0.611
0.250 0.191 0.607
0.750 0.809 0.393
0.250 0.443 0.144
0.750 0.557 0.856
0.750 0.060 0.871
0.250 0.940 0.129
```

- Formation enthalpy at 0 K: -0.06 eV per atom
- VASP energy: -5.28 eV per atom
- Spin magnetization: 2.6 μB per cell
- Distance to the lowest polymorph of the same formula: 0.000 eV/atom
- Symmetry: No. 11